Entry 1:
A relaxed structure of NdTmPd. Source: Alexandria via LeMat-Bulk, functional PBE.

Output
- energy above the lowest structure with this stoichiometry (meV/atom) = 0.0
- crystal system = orthorhombic

```
12
Lattice="4.931 0.000 0.000 0.000 8.774 0.000 0.000 0.000 7.227" Properties=species:S:1:pos:R:3 pbc="T T T"
Nd 1.233 7.236 3.484
Nd 3.698 2.849 0.129
Nd 1.233 5.924 7.098
Nd 3.698 1.538 3.743
Tm 3.698 8.072 1.028
Tm 3.698 5.088 4.642
Tm 1.233 0.701 6.199
Tm 1.233 3.686 2.585
Pd 3.698 5.183 1.843
Pd 3.698 7.978 5.457
Pd 1.233 0.796 1.770
Pd 1.233 3.591 5.384
```

***

Entry 2:
A relaxed structure of NdTmPd. Source: Alexandria via LeMat-Bulk, functional PBE.

Output
- energy above the lowest structure with this stoichiometry (meV/atom) = 201.8
- crystal system = trigonal

```
3
Lattice="-1.950 -3.303 1.105 -1.219 -0.799 -4.542 4.056 -1.814 1.735" Properties=species:S:1:pos:R:3 pbc="T T T"
Tm -0.210 -0.356 0.119
Nd -0.689 -3.218 -1.754
Pd 1.786 -2.342 -0.068
```

***

Entry 3:
A relaxed structure of NdTmPd. Source: Alexandria via LeMat-Bulk, functional PBE.

Output
- energy above the lowest structure with this stoichiometry (meV/atom) = 72.1
- crystal system = tetragonal

```
3
Lattice="-1.111 3.341 -0.636 -3.264 -0.859 1.187 3.832 0.392 5.429" Properties=species:S:1:pos:R:3 pbc="T T T"
Tm 0.981 0.974 3.402
Nd 0.069 0.069 0.241
Pd -1.593 1.831 2.337
```

***

Entry 4:
A relaxed structure of NdTmPd3. Source: Alexandria via LeMat-Bulk, functional PBE.

Output
- crystal system = monoclinic

```
20
Lattice="5.775 0.000 0.000 0.000 9.106 0.803 0.000 -2.276 8.013" Properties=species:S:1:pos:R:3 pbc="T T T"
Nd 5.228 5.098 2.256
Nd 0.547 1.732 6.561
Nd 2.340 2.870 2.554
Nd 3.435 3.960 6.262
Tm 1.621 7.142 5.770
Tm 4.155 -0.312 3.046
Tm 4.508 -1.450 7.052
Tm 1.267 8.280 1.764
Pd 1.132 0.400 3.529
Pd 4.643 6.430 5.287
Pd 4.020 7.568 1.280
Pd 1.755 -0.738 7.536
Pd 2.636 6.130 3.370
Pd 3.140 0.700 5.446
Pd 5.523 1.838 1.440
Pd 0.252 4.992 7.376
Pd 0.902 4.400 4.786
Pd 4.874 2.430 4.030
Pd 3.789 1.292 8.036
Pd 1.986 5.538 0.780
```

***

Entry 5:
A relaxed structure of Nd2TmPd4. Source: Alexandria via LeMat-Bulk, functional PBE.

Output
- crystal system = orthorhombic

```
7
Lattice="4.928 -0.826 -1.120 -1.203 4.850 -1.120 0.090 0.098 8.159" Properties=species:S:1:pos:R:3 pbc="T T T"
Nd 2.391 2.582 0.785
Nd 1.424 1.539 5.135
Tm 0.000 0.000 0.000
Pd 3.123 3.374 3.425
Pd 0.692 0.748 2.495
Pd -0.602 2.425 -0.560
Pd 2.464 -0.413 -0.560
```

***

Entry 6:
A relaxed structure of Nd3TmPd12. Source: Alexandria via LeMat-Bulk, functional PBE.

Output
- crystal system = tetragonal

```
16
Lattice="-3.199 -2.141 1.607 2.486 -1.448 3.021 -3.985 13.144 9.581" Properties=species:S:1:pos:R:3 pbc="T T T"
Nd -0.979 3.230 2.354
Nd -1.992 6.572 4.790
Nd -3.006 9.914 7.227
Tm 0.000 0.000 0.000
Pd -0.357 -1.795 2.314
Pd -1.341 1.452 4.680
Pd -2.349 4.777 7.104
Pd -3.357 8.103 9.528
Pd -2.074 0.495 1.945
Pd -3.088 3.838 4.381
Pd -4.096 7.165 6.806
Pd -5.110 10.507 9.243
Pd 0.768 0.842 2.652
Pd -0.245 4.184 5.088
Pd -1.254 7.511 7.513
Pd -2.267 10.854 9.950
```

***

Entry 7:
A relaxed structure of NdTmPd4. Source: Alexandria via LeMat-Bulk, functional PBE.

Output
- energy above the lowest structure with this stoichiometry (meV/atom) = 287.0
- crystal system = tetragonal

```
6
Lattice="-0.908 3.316 1.944 -3.013 -1.855 1.758 5.181 -2.339 6.409" Properties=species:S:1:pos:R:3 pbc="T T T"
Nd 3.218 -1.594 8.246
Tm -0.426 -3.011 4.949
Pd -2.124 -0.791 4.380
Pd 0.366 -1.915 7.461
Pd 2.326 -2.646 5.609
Pd -0.164 -1.521 2.530
```

***

Entry 8:
A relaxed structure of NdTmZn2Pd5. Source: Alexandria via LeMat-Bulk, functional PBE.

Output
- crystal system = tetragonal

```
9
Lattice="4.186 0.000 0.000 0.000 4.186 0.000 0.000 0.000 9.398" Properties=species:S:1:pos:R:3 pbc="T T T"
Nd 0.000 0.000 4.699
Tm 0.000 0.000 0.000
Zn 2.093 2.093 1.190
Zn 2.093 2.093 8.208
Pd 0.000 2.093 2.544
Pd 2.093 0.000 2.544
Pd 0.000 2.093 6.854
Pd 2.093 0.000 6.854
Pd 2.093 2.093 4.699
```

***

Entry 9:
A relaxed structure of Nd2TmZn2Pd5. Source: Alexandria via LeMat-Bulk, functional PBE.

Output
- crystal system = tetragonal

```
20
Lattice="3.888 0.000 0.000 0.000 10.023 0.000 0.000 0.000 10.023" Properties=species:S:1:pos:R:3 pbc="T T T"
Nd 0.000 6.784 1.772
Nd 0.000 3.239 8.250
Nd 0.000 1.772 3.239
Nd 0.000 8.250 6.784
Tm 0.000 0.000 0.000
Tm 0.000 5.011 5.011
Zn 0.000 1.188 6.199
Zn 0.000 8.835 3.823
Zn 0.000 6.199 8.835
Zn 0.000 3.823 1.188
Pd 1.944 2.122 0.668
Pd 1.944 7.900 9.354
Pd 1.944 0.668 7.900
Pd 1.944 7.134 4.343
Pd 1.944 9.354 2.122
Pd 1.944 2.889 5.680
Pd 1.944 5.680 7.134
Pd 1.944 4.343 2.889
Pd 1.944 5.011 0.000
Pd 1.944 0.000 5.011
```

***

Entry 10:
A relaxed structure of NdU2Pd9. Source: Alexandria via LeMat-Bulk, functional PBE.

Output
- crystal system = tetragonal

```
12
Lattice="-2.615 -1.851 -2.660 0.886 -3.696 1.701 -9.353 1.507 8.148" Properties=species:S:1:pos:R:3 pbc="T T T"
Nd 0.000 0.000 0.000
U -3.120 0.503 2.718
U -6.233 1.004 5.430
Pd -0.865 -2.773 -0.480
Pd -4.004 -2.267 2.256
Pd -7.078 -1.772 4.933
Pd -2.925 -0.665 0.079
Pd -5.984 -0.172 2.744
Pd -9.044 0.321 5.409
Pd -1.174 -1.587 2.259
Pd -4.234 -1.095 4.924
Pd -7.293 -0.602 7.589
```

***

Entry 11:
A relaxed structure of Nd2UPd9. Source: Alexandria via LeMat-Bulk, functional PBE.

Output
- crystal system = tetragonal

```
12
Lattice="-1.328 3.761 1.235 -3.959 -1.267 -0.396 0.053 -3.892 11.908" Properties=species:S:1:pos:R:3 pbc="T T T"
Nd 0.018 -1.303 3.987
Nd 0.036 -2.589 7.921
U 0.000 0.000 0.000
Pd -2.643 1.247 0.419
Pd -2.626 -0.037 4.346
Pd -2.607 -1.362 8.401
Pd -0.655 1.267 2.496
Pd -0.637 -0.066 6.572
Pd -0.619 -1.398 10.648
Pd -1.971 -1.247 1.680
Pd -1.953 -2.580 5.756
Pd -1.934 -3.912 9.832
```

***

Entry 12:
A relaxed structure of Nd3UPd12. Source: Alexandria via LeMat-Bulk, functional PBE.

Output
- crystal system = tetragonal

```
16
Lattice="-2.780 -0.791 -3.028 -1.327 -3.370 2.099 -11.308 9.389 7.927" Properties=species:S:1:pos:R:3 pbc="T T T"
Nd -2.840 2.358 1.991
Nd -5.654 4.695 3.964
Nd -8.467 7.031 5.936
U 0.000 0.000 0.000
Pd -2.054 -2.081 -0.465
Pd -4.833 0.227 1.484
Pd -7.708 2.614 3.499
Pd -10.582 5.001 5.514
Pd -2.719 0.707 -0.583
Pd -5.613 3.111 1.446
Pd -8.475 5.487 3.453
Pd -11.369 7.891 5.482
Pd -1.992 -0.582 1.981
Pd -4.886 1.821 4.010
Pd -7.748 4.198 6.017
Pd -10.643 6.601 8.046
```

***

Listing E for the structures above in their given order: -0.3980 -0.3831 -0.3927 -0.4249 -0.3890 -0.4314 -0.4104 -0.3559 -0.3673 -0.4993 -0.4667 -0.4575 Ry per atom.
Listing Fermi-level density of states for the structures above in their given order: 12.94 2.16 2.92 11.44 3.09 10.25 2.60 4.58 11.02 17.64 9.22 12.49 states/eV/cell.
Listing formation energy for the structures above in their given order: -0.60 -0.40 -0.53 -0.82 -0.32 -0.80 -0.58 -0.65 -0.74 -0.62 -0.72 -0.73 eV/atom.